[1]
{"formula": "MnCu2Ge2", "functional": "PBE-GGA", "state": "optimized geometry", "sg": "P4/mbm", "magnetic_moment_mub_per_fu": 3.080, "e_form_ev_per_atom": 0.20, "dos_at_fermi_per_ev_cell": 4.58, "lattice_angstrom": [[7.129, 0.000, 0.000], [0.000, 7.129, 0.000], [0.000, 0.000, 2.906]], "species": ["Ge", "Ge", "Ge", "Ge", "Mn", "Mn", "Cu", "Cu", "Cu", "Cu"], "frac_coords": [[0.331, 0.831, 0.000], [0.831, 0.669, 0.000], [0.669, 0.169, 0.000], [0.169, 0.331, 0.000], [0.000, 0.000, 0.000], [0.500, 0.500, 0.000], [0.128, 0.628, 0.500], [0.628, 0.872, 0.500], [0.872, 0.372, 0.500], [0.372, 0.128, 0.500]]}

[2]
{"formula": "TbPmNdTm", "functional": "PBE-GGA", "state": "optimized geometry", "sg": "P3m1", "magnetic_moment_mub_per_fu": 0.000, "e_form_ev_per_atom": 0.01, "dos_at_fermi_per_ev_cell": 4.75, "e_above_lowest_polymorph_kj_per_mol_fu": 0.0, "lattice_angstrom": [[-2.411, -2.665, -0.357], [2.257, 0.027, 2.820], [-7.715, 6.161, 6.116]], "species": ["Tb", "Pm", "Nd", "Tm"], "frac_coords": [[0.000, 0.000, 0.429], [0.333, 0.667, 0.920], [0.667, 0.333, 0.178], [0.667, 0.333, 0.672]]}

[3]
{"formula": "Ce2ScAuC", "functional": "PBE-GGA", "state": "optimized geometry", "sg": "P4/mmm", "magnetic_moment_mub_per_fu": 1.112, "e_form_ev_per_atom": -0.36, "dos_at_fermi_per_ev_cell": 9.33, "lattice_angstrom": [[-0.854, -2.563, -4.136], [-1.420, -3.885, 2.701], [-4.244, 1.510, -0.060]], "species": ["Ce", "Ce", "Sc", "Au", "C"], "frac_coords": [[0.000, 0.500, 0.000], [0.500, 0.000, 0.000], [0.000, 0.000, 0.500], [0.500, 0.500, 0.500], [0.000, 0.000, 0.000]]}

[4]
{"formula": "K2HgBiO4", "functional": "PBE-GGA", "state": "optimized geometry", "sg": "C2", "magnetic_moment_mub_per_fu": 0.859, "formation_energy_uncorrected_ev_per_atom": -1.0223, "dos_at_fermi_per_ev_cell": 1.34, "lattice_angstrom": [[-3.686, 2.712, -4.136], [-5.057, -3.877, 0.176], [2.765, 2.807, 4.871]], "species": ["K", "K", "Hg", "Bi", "O", "O", "O", "O"], "frac_coords": [[0.534, 0.034, 0.069], [0.278, 0.278, 0.555], [0.026, 0.526, 0.051], [0.752, 0.752, 0.505], [0.632, 0.580, 0.642], [0.809, 0.403, 0.155], [0.347, 0.752, 0.155], [0.009, 0.062, 0.642]]}

[5]
{"formula": "MgUGa2Au4", "functional": "PBE-GGA", "state": "optimized geometry", "sg": "R-3m", "magnetic_moment_mub_per_fu": 2.276, "e_form_ev_per_atom": -0.30, "dos_at_fermi_per_ev_cell": 6.85, "lattice_angstrom": [[4.542, 0.000, 0.000], [2.271, 3.933, 0.000], [2.271, 1.311, 8.617]], "species": ["Mg", "U", "Ga", "Ga", "Au", "Au", "Au", "Au"], "frac_coords": [[0.500, 0.500, 0.500], [0.000, 0.000, 0.000], [0.753, 0.753, 0.740], [0.247, 0.247, 0.260], [0.390, 0.390, 0.831], [0.870, 0.870, 0.390], [0.130, 0.130, 0.610], [0.610, 0.610, 0.169]]}

[6]
{"formula": "Sc2Cr2Ge2P", "functional": "PBE-GGA", "state": "optimized geometry", "sg": "I4/mmm", "magnetic_moment_mub_per_fu": 0.032, "e_form_ev_per_atom": -0.33, "dos_at_fermi_per_ev_cell": 7.75, "lattice_angstrom": [[4.183, 0.000, 0.000], [0.000, 4.183, 0.000], [-2.092, -2.092, 6.986]], "species": ["Sc", "Sc", "Cr", "Cr", "Ge", "Ge", "P"], "frac_coords": [[0.176, 0.176, 0.352], [0.824, 0.824, 0.648], [0.000, 0.500, 0.000], [0.500, 0.000, 0.000], [0.380, 0.380, 0.759], [0.620, 0.620, 0.241], [0.000, 0.000, 0.000]]}

[7]
{"formula": "InPbF", "functional": "PBE-GGA", "state": "optimized geometry", "sg": "P3m1", "magnetic_moment_mub_per_fu": 0.000, "formation_energy_uncorrected_ev_per_atom": -0.9305, "dos_at_fermi_per_ev_cell": 1.57, "e_above_lowest_polymorph_kj_per_mol_fu": 20.6, "lattice_angstrom": [[-0.635, 3.326, 0.173], [0.151, -1.847, 2.839], [6.866, 1.286, 0.473]], "species": ["Pb", "F", "In"], "frac_coords": [[0.000, 0.000, 0.969], [0.333, 0.667, 0.629], [0.667, 0.333, 0.401]]}

[8]
{"formula": "Y2GeW", "functional": "PBE-GGA", "state": "optimized geometry", "sg": "I-42d", "magnetic_moment_mub_per_fu": 0.000, "e_form_ev_per_atom": 0.58, "dos_at_fermi_per_ev_cell": 9.26, "lattice_angstrom": [[-3.514, -1.819, -6.997], [-1.812, -7.310, 2.810], [-5.148, -3.568, -1.104]], "species": ["Y", "Y", "Y", "Y", "Ge", "Ge", "W", "W"], "frac_coords": [[0.617, 0.125, 0.250], [0.133, 0.625, 0.250], [0.375, 0.383, 0.750], [0.875, 0.867, 0.750], [0.500, 0.500, 0.000], [0.250, 0.750, 0.500], [0.000, 0.000, 0.000], [0.750, 0.250, 0.500]]}

[9]
{"formula": "TlSiAg", "functional": "PBE-GGA", "state": "optimized geometry", "sg": "P2_1/m", "magnetic_moment_mub_per_fu": 0.000, "formation_energy_uncorrected_ev_per_atom": 0.2163, "dos_at_fermi_per_ev_cell": 1.49, "lattice_angstrom": [[3.824, -0.001, 0.002], [0.000, 5.015, 1.050], [-0.004, 2.592, 7.731]], "species": ["Tl", "Tl", "Si", "Si", "Ag", "Ag"], "frac_coords": [[0.100, 0.031, 0.766], [0.600, 0.445, 0.900], [0.601, 0.080, 0.409], [0.101, 0.396, 0.258], [0.100, 0.937, 0.188], [0.600, 0.539, 0.478]]}

[10]
{"formula": "NiBiB", "functional": "PBE-GGA", "state": "optimized geometry", "sg": "F-43m", "magnetic_moment_mub_per_fu": 0.000, "e_form_ev_per_atom": 0.86, "dos_at_fermi_per_ev_cell": 1.52, "lattice_angstrom": [[-3.983, -0.083, 1.043], [-1.766, -3.552, 1.106], [-1.089, -0.624, 3.922]], "species": ["Ni", "B", "Bi"], "frac_coords": [[0.750, 0.750, 0.750], [0.000, 0.000, 0.000], [0.500, 0.500, 0.500]]}

[11]
{"formula": "SiHgOs2", "functional": "PBE-GGA", "state": "optimized geometry", "sg": "R-3m", "magnetic_moment_mub_per_fu": 0.000, "formation_energy_uncorrected_ev_per_atom": 0.2592, "dos_at_fermi_per_ev_cell": 2.54, "e_above_lowest_polymorph_kj_per_mol_fu": 0.0, "lattice_angstrom": [[9.311, 0.038, 0.022], [8.872, 2.824, 0.022], [8.872, 1.397, 2.455]], "species": ["Hg", "Os", "Os", "Si"], "frac_coords": [[0.750, 0.750, 0.750], [0.984, 0.984, 0.984], [0.516, 0.516, 0.516], [0.250, 0.250, 0.250]]}

[12]
{"formula": "Al2Si", "functional": "PBE-GGA", "state": "optimized geometry", "sg": "P-3m1", "magnetic_moment_mub_per_fu": 0.000, "formation_energy_uncorrected_ev_per_atom": 0.2442, "dos_at_fermi_per_ev_cell": 0.96, "lattice_angstrom": [[3.779, 0.000, 0.000], [-1.889, 3.273, 0.000], [0.000, 0.000, 4.562]], "species": ["Si", "Al", "Al"], "frac_coords": [[0.000, 0.000, 0.000], [0.667, 0.333, 0.711], [0.333, 0.667, 0.289]]}